# EuCdAg (GGA-PBE, optimized geometry)
data_EuCdAg
_chemical_formula_sum 'Eu1 Cd1 Ag1'
_cell_length_a 3.743
_cell_length_b 4.953
_cell_length_c 4.953
_cell_angle_alpha 120.00
_cell_angle_beta 90.00
_cell_angle_gamma 90.00
_symmetry_space_group_name_H-M 'P 1'
_symmetry_Int_Tables_number 1
loop_
_symmetry_equiv_pos_as_xyz
'x,y,z'
loop_
_atom_site_label
_atom_site_type_symbol
_atom_site_fract_x
_atom_site_fract_y
_atom_site_fract_z
Eu1 Eu 0.667 0.667 0.333
Ag1 Ag 0.167 0.333 0.667
Cd1 Cd 0.166 0.000 0.000
# DOS at the Fermi energy = 9.0 states/eV/cell
# SG = P-6m2, No. 187
# formation energy from the elements = -308 meV/atom

# EuCdAg2 (GGA-PBE, optimized geometry)
data_EuCdAg2
_chemical_formula_sum 'Eu1 Cd1 Ag2'
_cell_length_a 4.174
_cell_length_b 4.828
_cell_length_c 4.828
_cell_angle_alpha 90.00
_cell_angle_beta 90.00
_cell_angle_gamma 90.00
_symmetry_space_group_name_H-M 'P 1'
_symmetry_Int_Tables_number 1
loop_
_symmetry_equiv_pos_as_xyz
'x,y,z'
loop_
_atom_site_label
_atom_site_type_symbol
_atom_site_fract_x
_atom_site_fract_y
_atom_site_fract_z
Eu1 Eu 0.500 0.500 0.500
Ag1 Ag 0.000 0.000 0.500
Ag2 Ag 0.000 0.500 0.000
Cd1 Cd 0.500 0.000 0.000
# energy above the lowest structure with this stoichiometry = 105 meV per atom
# DOS at the Fermi energy = 12.8 states/eV/cell
# SG = P4/mmm, No. 123
# formation energy from the elements = -117 meV/atom

# EuCdAg2 (GGA-PBE, optimized geometry)
data_EuCdAg2
_chemical_formula_sum 'Eu1 Cd1 Ag2'
_cell_length_a 3.626
_cell_length_b 3.626
_cell_length_c 7.144
_cell_angle_alpha 90.00
_cell_angle_beta 90.00
_cell_angle_gamma 90.00
_symmetry_space_group_name_H-M 'P 1'
_symmetry_Int_Tables_number 1
loop_
_symmetry_equiv_pos_as_xyz
'x,y,z'
loop_
_atom_site_label
_atom_site_type_symbol
_atom_site_fract_x
_atom_site_fract_y
_atom_site_fract_z
Eu1 Eu 0.500 0.500 0.500
Ag1 Ag 0.000 0.000 0.789
Ag2 Ag 0.000 0.000 0.211
Cd1 Cd 0.500 0.500 0.000
# energy above the lowest structure with this stoichiometry = 49 meV per atom
# DOS at the Fermi energy = 9.8 states/eV/cell
# SG = P4/mmm, No. 123
# formation energy from the elements = -173 meV/atom

# EuCdAg (GGA-PBE, optimized geometry)
data_EuCdAg
_chemical_formula_sum 'Eu2 Cd2 Ag2'
_cell_length_a 6.067
_cell_length_b 6.067
_cell_length_c 7.567
_cell_angle_alpha 54.30
_cell_angle_beta 54.30
_cell_angle_gamma 47.38
_symmetry_space_group_name_H-M 'P 1'
_symmetry_Int_Tables_number 1
loop_
_symmetry_equiv_pos_as_xyz
'x,y,z'
loop_
_atom_site_label
_atom_site_type_symbol
_atom_site_fract_x
_atom_site_fract_y
_atom_site_fract_z
Eu1 Eu 0.549 0.549 0.698
Eu2 Eu 0.451 0.451 0.302
Ag1 Ag 0.158 0.158 0.298
Ag2 Ag 0.842 0.842 0.702
Cd1 Cd 0.831 0.831 0.108
Cd2 Cd 0.169 0.169 0.892
# DOS at the Fermi energy = 16.5 states/eV/cell
# SG = C2/m, No. 12
# formation energy from the elements = -329 meV/atom

# Eu2CdAg (GGA-PBE, optimized geometry)
data_Eu2CdAg
_chemical_formula_sum 'Eu2 Cd1 Ag1'
_cell_length_a 4.260
_cell_length_b 4.260
_cell_length_c 8.936
_cell_angle_alpha 76.21
_cell_angle_beta 76.21
_cell_angle_gamma 60.00
_symmetry_space_group_name_H-M 'P 1'
_symmetry_Int_Tables_number 1
loop_
_symmetry_equiv_pos_as_xyz
'x,y,z'
loop_
_atom_site_label
_atom_site_type_symbol
_atom_site_fract_x
_atom_site_fract_y
_atom_site_fract_z
Eu1 Eu 0.257 0.257 0.228
Eu2 Eu 0.743 0.743 0.772
Ag1 Ag 0.000 0.000 0.000
Cd1 Cd 0.500 0.500 0.500
# DOS at the Fermi energy = 20.6 states/eV/cell
# SG = R-3m, No. 166
# formation energy from the elements = -133 meV/atom

# EuGdCdAg (GGA-PBE, optimized geometry)
data_EuGdCdAg
_chemical_formula_sum 'Eu1 Gd1 Cd1 Ag1'
_cell_length_a 5.364
_cell_length_b 5.364
_cell_length_c 5.364
_cell_angle_alpha 60.00
_cell_angle_beta 60.00
_cell_angle_gamma 60.00
_symmetry_space_group_name_H-M 'P 1'
_symmetry_Int_Tables_number 1
loop_
_symmetry_equiv_pos_as_xyz
'x,y,z'
loop_
_atom_site_label
_atom_site_type_symbol
_atom_site_fract_x
_atom_site_fract_y
_atom_site_fract_z
Eu1 Eu 0.500 0.500 0.500
Gd1 Gd 0.000 0.000 0.000
Ag1 Ag 0.250 0.250 0.250
Cd1 Cd 0.750 0.750 0.750
# DOS at the Fermi energy = 9.7 states/eV/cell
# SG = F-43m, No. 216
# formation energy from the elements = -285 meV/atom

# EuHoCdAg (GGA-PBE, optimized geometry)
data_EuHoCdAg
_chemical_formula_sum 'Eu1 Ho1 Cd1 Ag1'
_cell_length_a 5.320
_cell_length_b 5.320
_cell_length_c 5.320
_cell_angle_alpha 60.00
_cell_angle_beta 60.00
_cell_angle_gamma 60.00
_symmetry_space_group_name_H-M 'P 1'
_symmetry_Int_Tables_number 1
loop_
_symmetry_equiv_pos_as_xyz
'x,y,z'
loop_
_atom_site_label
_atom_site_type_symbol
_atom_site_fract_x
_atom_site_fract_y
_atom_site_fract_z
Eu1 Eu 0.500 0.500 0.500
Ho1 Ho 0.000 0.000 0.000
Ag1 Ag 0.250 0.250 0.250
Cd1 Cd 0.750 0.750 0.750
# DOS at the Fermi energy = 5.9 states/eV/cell
# SG = F-43m, No. 216
# formation energy from the elements = -275 meV/atom

# EuCdInAg (GGA-PBE, optimized geometry)
data_EuCdInAg
_chemical_formula_sum 'Eu1 Cd1 In1 Ag1'
_cell_length_a 5.155
_cell_length_b 5.155
_cell_length_c 5.155
_cell_angle_alpha 60.00
_cell_angle_beta 60.00
_cell_angle_gamma 60.00
_symmetry_space_group_name_H-M 'P 1'
_symmetry_Int_Tables_number 1
loop_
_symmetry_equiv_pos_as_xyz
'x,y,z'
loop_
_atom_site_label
_atom_site_type_symbol
_atom_site_fract_x
_atom_site_fract_y
_atom_site_fract_z
Eu1 Eu 0.500 0.500 0.500
Cd1 Cd 0.250 0.250 0.250
Ag1 Ag 0.750 0.750 0.750
In1 In 0.000 0.000 0.000
# DOS at the Fermi energy = 12.3 states/eV/cell
# SG = F-43m, No. 216
# formation energy from the elements = -294 meV/atom

# LaEuCdAg (GGA-PBE, optimized geometry)
data_LaEuCdAg
_chemical_formula_sum 'La1 Eu1 Cd1 Ag1'
_cell_length_a 5.483
_cell_length_b 5.483
_cell_length_c 5.483
_cell_angle_alpha 60.00
_cell_angle_beta 60.00
_cell_angle_gamma 60.00
_symmetry_space_group_name_H-M 'P 1'
_symmetry_Int_Tables_number 1
loop_
_symmetry_equiv_pos_as_xyz
'x,y,z'
loop_
_atom_site_label
_atom_site_type_symbol
_atom_site_fract_x
_atom_site_fract_y
_atom_site_fract_z
Eu1 Eu 0.250 0.250 0.250
Cd1 Cd 0.500 0.500 0.500
Ag1 Ag 0.000 0.000 0.000
La1 La 0.750 0.750 0.750
# DOS at the Fermi energy = 9.1 states/eV/cell
# SG = F-43m, No. 216
# formation energy from the elements = -298 meV/atom

# EuLuCdAg (GGA-PBE, optimized geometry)
data_EuLuCdAg
_chemical_formula_sum 'Eu1 Lu1 Cd1 Ag1'
_cell_length_a 5.281
_cell_length_b 5.281
_cell_length_c 5.281
_cell_angle_alpha 60.00
_cell_angle_beta 60.00
_cell_angle_gamma 60.00
_symmetry_space_group_name_H-M 'P 1'
_symmetry_Int_Tables_number 1
loop_
_symmetry_equiv_pos_as_xyz
'x,y,z'
loop_
_atom_site_label
_atom_site_type_symbol
_atom_site_fract_x
_atom_site_fract_y
_atom_site_fract_z
Eu1 Eu 0.500 0.500 0.500
Lu1 Lu 0.000 0.000 0.000
Ag1 Ag 0.250 0.250 0.250
Cd1 Cd 0.750 0.750 0.750
# DOS at the Fermi energy = 5.6 states/eV/cell
# SG = F-43m, No. 216
# formation energy from the elements = -261 meV/atom

# EuMgCdAg (GGA-PBE, optimized geometry)
data_EuMgCdAg
_chemical_formula_sum 'Eu1 Mg1 Cd1 Ag1'
_cell_length_a 5.187
_cell_length_b 5.187
_cell_length_c 5.187
_cell_angle_alpha 60.00
_cell_angle_beta 60.00
_cell_angle_gamma 60.00
_symmetry_space_group_name_H-M 'P 1'
_symmetry_Int_Tables_number 1
loop_
_symmetry_equiv_pos_as_xyz
'x,y,z'
loop_
_atom_site_label
_atom_site_type_symbol
_atom_site_fract_x
_atom_site_fract_y
_atom_site_fract_z
Eu1 Eu 0.500 0.500 0.500
Mg1 Mg 0.000 0.000 0.000
Ag1 Ag 0.250 0.250 0.250
Cd1 Cd 0.750 0.750 0.750
# DOS at the Fermi energy = 9.8 states/eV/cell
# SG = F-43m, No. 216
# formation energy from the elements = -231 meV/atom

# NaEuCdAg (GGA-PBE, optimized geometry)
data_NaEuCdAg
_chemical_formula_sum 'Na1 Eu1 Cd1 Ag1'
_cell_length_a 5.361
_cell_length_b 5.361
_cell_length_c 5.361
_cell_angle_alpha 60.00
_cell_angle_beta 60.00
_cell_angle_gamma 60.00
_symmetry_space_group_name_H-M 'P 1'
_symmetry_Int_Tables_number 1
loop_
_symmetry_equiv_pos_as_xyz
'x,y,z'
loop_
_atom_site_label
_atom_site_type_symbol
_atom_site_fract_x
_atom_site_fract_y
_atom_site_fract_z
Eu1 Eu 0.500 0.500 0.500
Na1 Na 0.000 0.000 0.000
Ag1 Ag 0.250 0.250 0.250
Cd1 Cd 0.750 0.750 0.750
# DOS at the Fermi energy = 8.9 states/eV/cell
# SG = F-43m, No. 216
# formation energy from the elements = -150 meV/atom

> Look up the DOS at the Fermi energy of the third one.

9.8 states/eV/cell

> DOS at the Fermi energy of number 1 (EuCdAg)?

9.0 states/eV/cell

> Look up the DOS at the Fermi energy of the fifth one.

20.6 states/eV/cell

> The highest formation energy from the elements belongs to which entry?

number 2